Compound: VHPt2Rh
Source: the Alexandria database
Functional: PBE-GGA
Structure: relaxed

abc: 3.9047 3.9047 4.0475
angles: 90.00 90.00 90.00
Closest atoms and distances in Å follow each position.
Fractional coordinates of all 5 atoms:
Pt1 0.5000 0.0000 0.0000  2 H 1.95
Pt2 0.0000 0.5000 0.0000  2 H 1.95
H1 0.0000 0.0000 0.0000  4 Pt 1.95, 2 V 2.02
V1 0.0000 0.0000 0.5000  2 H 2.02
Rh1 0.5000 0.5000 0.5000  4 V 2.76, 8 Pt 2.81

## Properties
E_tot = -6.567 eV/atom
Theoretical density = 14665 kg/m³
Magnetic moment = 0.25 μB per atom
Symmetry = P4/mmm



Compound: VHPtRh2
Source: the Alexandria database
Functional: PBE-GGA
Structure: relaxed

abc: 3.9121 3.9121 3.8755
angles: 90.00 90.00 90.00
Closest atoms and distances in Å follow each position.
Fractional coordinates of all 5 atoms:
V1 0.5000 0.5000 0.5000  8 Rh 2.75, 4 Pt 2.77
Rh1 0.0000 0.5000 0.0000  2 H 1.96
Rh2 0.5000 0.0000 0.0000  2 H 1.96
Pt1 0.0000 0.0000 0.5000  2 H 1.94
H1 0.0000 0.0000 0.0000  2 Pt 1.94, 4 Rh 1.96

## Properties
Theoretical density = 12678 kg/m³
Magnetic moment = 0.12 μB per atom
Polymorph energy (0 for the lowest one) = 0.0408 eV per atom
Symmetry = P4/mmm



The lowest magnetic moment belongs to which entry? VHPtRh2